Entry from Alexandria: a crystal of Li5Ti2Ni3O10 relaxed with PBEsol (SCAN).

Cell: 5.006 5.078 7.591 Å, 109.37 101.31 100.55°
Space group P-1 (No. 2)
Unique sites:
Li  0.000  0.000  0.000 x1
Li  0.088  0.194  0.703 x2
Li  0.281  0.596  0.101 x2
Ti  0.392  0.785  0.803 x2
Ni  0.197  0.394  0.399 x2
Ni  0.500  0.000  0.500 x1
O  0.061  0.606  0.842 x2
O  0.172  0.802  0.555 x2
O  0.275  0.015  0.270 x2
O  0.364  0.178  0.957 x2
O  0.455  0.412  0.651 x2

## Properties
* ΔE_f (raw): -2.313 eV/atom
* volume: 8.6 A^3/atom
* E: -201.09 eV per cell
* magnetization: 0.25 μB/atom


Entry from Alexandria: a crystal of Li3TiNi3O8 relaxed with PBEsol (SCAN).

Cell: 5.652 5.717 5.757 Å, 118.70 119.36 90.07°
Space group P-1 (No. 2)
Unique sites:
Li  0.000  0.000  0.000 x1
Li  0.000  0.000  0.500 x1
Li  0.500  0.000  0.000 x1
Ti  0.500  0.500  0.500 x1
Ni  0.000  0.500  0.000 x1
Ni  0.000  0.500  0.500 x1
Ni  0.500  0.500  0.000 x1
O  0.227  0.699  0.950 x2
O  0.239  0.272  0.498 x2
O  0.240  0.727  0.499 x2
O  0.264  0.275  0.023 x2

## Properties
* ΔE_f (raw): -1.960 eV/atom
* volume: 9.0 A^3/atom
* E: -150.97 eV per cell
* magnetization: 0.20 μB/atom


Entry from Alexandria: a crystal of Li4Ti4V4NiO18 relaxed with PBEsol (SCAN).

Cell: 8.922 24.852 2.850 Å, 90.00 90.00 90.00°
Space group Pbam (No. 55)
Unique sites:
Li  0.104  0.193  0.000 x4
Li  0.206  0.000  0.000 x4
Ti  0.051  0.905  0.000 x4
Ti  0.230  0.817  0.500 x4
V  0.084  0.696  0.000 x4
V  0.184  0.595  0.500 x4
Ni  0.000  0.500  0.000 x2
O  0.017  0.850  0.500 x4
O  0.059  0.618  0.000 x4
O  0.064  0.293  0.500 x4
O  0.104  0.952  0.500 x4
O  0.124  0.524  0.500 x4
O  0.159  0.768  0.000 x4
O  0.165  0.082  0.000 x4
O  0.228  0.677  0.500 x4
O  0.249  0.367  0.000 x4

## Properties
* ΔE_f (raw): -2.710 eV/atom
* volume: 10.2 A^3/atom
* E: -711.94 eV per cell
* magnetization: 0.19 μB/atom


Entry from Alexandria: a crystal of Li4Ti2V3Ni3O16 relaxed with PBEsol (SCAN).

Cell: 5.726 5.744 9.481 Å, 90.38 90.13 119.82°
Space group P1 (No. 1)
Unique sites:
Li  0.000  0.000  0.000 x1
Li  0.007  0.002  0.508 x1
Li  0.343  0.685  0.604 x1
Li  0.670  0.336  0.093 x1
Ti  0.338  0.670  0.989 x1
Ti  0.651  0.296  0.506 x1
V  0.184  0.822  0.269 x1
V  0.651  0.796  0.287 x1
V  0.821  0.640  0.763 x1
Ni  0.173  0.342  0.290 x1
Ni  0.346  0.178  0.788 x1
Ni  0.837  0.179  0.787 x1
O  0.036  0.529  0.163 x1
O  0.166  0.827  0.901 x1
O  0.170  0.337  0.908 x1
O  0.332  0.155  0.400 x1
O  0.344  0.690  0.401 x1
O  0.487  0.975  0.163 x1
O  0.496  0.533  0.161 x1
O  0.527  0.051  0.653 x1
O  0.531  0.504  0.651 x1
O  0.664  0.827  0.900 x1
O  0.687  0.370  0.894 x1
O  0.825  0.151  0.398 x1
O  0.831  0.667  0.395 x1
O  0.975  0.504  0.651 x1
O  0.993  0.983  0.699 x1
O  0.999  0.986  0.194 x1

## Properties
* ΔE_f (raw): -2.418 eV/atom
* volume: 9.7 A^3/atom
* E: -310.00 eV per cell
* magnetization: 0.25 μB/atom


Entry from Alexandria: a crystal of Li4Ti3Ni3W2O16 relaxed with PBEsol (SCAN).

Cell: 10.049 5.850 9.701 Å, 90.00 90.69 90.00°
Space group Cm (No. 8)
Unique sites:
Li  0.000  0.000  0.000 x2
Li  0.004  0.000  0.511 x2
Li  0.170  0.500  0.922 x2
Li  0.341  0.000  0.429 x2
Ti  0.102  0.251  0.237 x4
Ti  0.183  0.000  0.748 x2
Ni  0.332  0.500  0.226 x2
Ni  0.420  0.243  0.726 x4
W  0.173  0.500  0.513 x2
W  0.353  0.000  0.004 x2
O  0.007  0.000  0.813 x2
O  0.008  0.000  0.320 x2
O  0.026  0.500  0.355 x2
O  0.094  0.256  0.606 x4
O  0.163  0.500  0.121 x2
O  0.179  0.000  0.122 x2
O  0.242  0.273  0.366 x4
O  0.256  0.217  0.875 x4
O  0.330  0.000  0.625 x2
O  0.334  0.500  0.602 x2
O  0.427  0.242  0.107 x4
O  0.484  0.000  0.868 x2

## Properties
* ΔE_f (raw): -2.375 eV/atom
* volume: 10.2 A^3/atom
* E: -823.51 eV per cell
* magnetization: 0.14 μB/atom


Entry from Alexandria: a crystal of Li3V2NiO6 relaxed with PBEsol (SCAN).

Cell: 12.663 2.836 5.852 Å, 90.00 105.39 90.00°
Space group C2/m (No. 12)
Unique sites:
Li  0.000  0.000  0.000 x2
Li  0.161  0.500  0.344 x4
V  0.168  0.500  0.840 x4
Ni  0.000  0.000  0.500 x2
O  0.011  0.500  0.750 x4
O  0.168  0.000  0.080 x4
O  0.169  0.000  0.606 x4

## Properties
* ΔE_f (raw): -2.316 eV/atom
* volume: 8.4 A^3/atom
* E: -247.00 eV per cell
* magnetization: 0.42 μB/atom


Entry from Alexandria: a crystal of Li2VNiO4 relaxed with PBEsol (SCAN).

Cell: 4.998 2.837 5.064 Å, 90.00 109.39 90.00°
Space group P2/m (No. 10)
Unique sites:
Li  0.000  0.000  0.000 x1
Li  0.500  0.500  0.000 x1
V  0.000  0.500  0.500 x1
Ni  0.500  0.000  0.500 x1
O  0.235  0.000  0.738 x2
O  0.243  0.500  0.276 x2

## Properties
* ΔE_f (raw): -2.206 eV/atom
* volume: 8.5 A^3/atom
* energy above the most stable polymorph in this dataset: 0.000 eV/atom
* E: -81.02 eV per cell
* magnetization: 0.37 μB/atom


Entry from Alexandria: a crystal of Li2VNiO4 relaxed with PBEsol (SCAN).

Cell: 5.616 5.870 8.178 Å, 90.00 90.00 90.00°
Space group Imma (No. 74)
Unique sites:
Li  0.000  0.000  0.000 x4
Li  0.250  0.250  0.250 x4
V  0.250  0.250  0.750 x4
Ni  0.000  0.000  0.500 x4
O  0.000  0.013  0.753 x8
O  0.244  0.250  0.520 x8

## Properties
* ΔE_f (raw): -2.199 eV/atom
* volume: 8.4 A^3/atom
* energy above the most stable polymorph in this dataset: 0.008 eV/atom
* E: -323.82 eV per cell
* magnetization: 0.12 μB/atom


Entry from Alexandria: a crystal of Li3V2Ni2O8 relaxed with PBEsol (SCAN).

Cell: 9.973 5.839 5.616 Å, 90.00 124.06 90.00°
Space group C2/m (No. 12)
Unique sites:
Li  0.000  0.000  0.000 x2
Li  0.250  0.250  0.500 x4
V  0.000  0.500  0.000 x2
V  0.000  0.500  0.500 x2
Ni  0.250  0.250  0.000 x4
O  0.002  0.273  0.250 x8
O  0.225  0.500  0.213 x4
O  0.230  0.500  0.738 x4

## Properties
* ΔE_f (raw): -2.145 eV/atom
* volume: 9.0 A^3/atom
* E: -313.03 eV per cell
* magnetization: 0.33 μB/atom


Entry from Alexandria: a crystal of Li7V6Ni5O24 relaxed with PBEsol (SCAN).

Cell: 5.714 5.764 12.733 Å, 77.34 77.09 89.53°
Space group P-1 (No. 2)
Unique sites:
Li  0.000  0.000  0.000 x1
Li  0.159  0.164  0.169 x2
Li  0.168  0.671  0.669 x2
Li  0.333  0.329  0.332 x2
V  0.042  0.790  0.417 x2
V  0.296  0.535  0.918 x2
V  0.377  0.131  0.747 x2
Ni  0.162  0.664  0.168 x2
Ni  0.500  0.000  0.000 x1
Ni  0.500  0.000  0.500 x1
Ni  0.500  0.500  0.500 x1
O  0.080  0.067  0.340 x2
O  0.084  0.593  0.332 x2
O  0.085  0.574  0.838 x2
O  0.089  0.096  0.828 x2
O  0.255  0.748  0.003 x2
O  0.258  0.251  0.501 x2
O  0.259  0.749  0.499 x2
O  0.264  0.250  0.997 x2
O  0.416  0.910  0.166 x2
O  0.419  0.428  0.165 x2
O  0.420  0.410  0.662 x2
O  0.420  0.929  0.663 x2

## Properties
* ΔE_f (raw): -2.277 eV/atom
* volume: 9.5 A^3/atom
* E: -447.71 eV per cell
* magnetization: 0.21 μB/atom


Entry from Alexandria: a crystal of Li2V3NiO8 relaxed with PBEsol (SCAN).

Cell: 11.679 3.894 6.302 Å, 90.00 106.58 90.00°
Space group Cm (No. 8)
Unique sites:
Li  0.000  0.000  0.000 x2
Li  0.123  0.000  0.686 x2
V  0.174  0.500  0.074 x2
V  0.344  0.000  0.062 x2
V  0.450  0.000  0.646 x2
Ni  0.272  0.500  0.651 x2
O  0.001  0.500  0.001 x2
O  0.115  0.500  0.713 x2
O  0.172  0.000  0.029 x2
O  0.206  0.500  0.345 x2
O  0.298  0.000  0.719 x2
O  0.334  0.500  0.022 x2
O  0.403  0.000  0.353 x2
O  0.448  0.500  0.668 x2

## Properties
* ΔE_f (raw): -2.358 eV/atom
* volume: 9.8 A^3/atom
* energy above the most stable polymorph in this dataset: 0.027 eV/atom
* E: -312.57 eV per cell
* magnetization: 0.25 μB/atom


Entry from Alexandria: a crystal of Li3V4NiO12 relaxed with PBEsol (SCAN).

Cell: 4.904 5.277 7.228 Å, 84.40 89.95 89.93°
Space group P1 (No. 1)
Unique sites:
Li  0.000  0.000  0.000 x1
Li  0.001  0.003  0.497 x1
Li  0.500  0.506  0.003 x1
V  0.000  0.436  0.723 x1
V  0.501  0.946  0.215 x1
V  0.504  0.944  0.721 x1
V  0.995  0.441  0.218 x1
Ni  0.498  0.526  0.510 x1
O  0.119  0.394  0.945 x1
O  0.190  0.080  0.252 x1
O  0.192  0.701  0.629 x1
O  0.312  0.571  0.263 x1
O  0.320  0.209  0.627 x1
O  0.382  0.896  0.945 x1
O  0.622  0.885  0.444 x1
O  0.684  0.585  0.751 x1
O  0.694  0.203  0.133 x1
O  0.806  0.703  0.133 x1
O  0.818  0.087  0.751 x1
O  0.861  0.391  0.442 x1

## Properties
* ΔE_f (raw): -2.415 eV/atom
* volume: 9.3 A^3/atom
* E: -216.38 eV per cell
* magnetization: 0.05 μB/atom


Entry from Alexandria: a crystal of Li2V3NiO8 relaxed with PBEsol (SCAN).

Cell: 5.6475 5.6475 9.5739 Å, 90.00 90.00 120.00°
Space group P6_3mc (No. 186)
Unique sites:
Li  0.0000  0.0000  0.0000 x2
Li  0.3333  0.6667  0.1018 x2
V  0.1758  0.3516  0.7818 x6
Ni  0.3333  0.6667  0.5040 x2
O  0.0000  0.0000  0.1858 x2
O  0.0352  0.5176  0.6577 x6
O  0.1638  0.3276  0.3855 x6
O  0.3333  0.6667  0.9043 x2

## Properties
* ΔE_f (raw): -2.386 eV/atom
* volume: 9.4 A^3/atom
* energy above the most stable polymorph in this dataset: 0.000 eV/atom
* E: -313.34 eV per cell
* magnetization: 0.36 μB/atom


Entry from Alexandria: a crystal of Li2VNiO4 relaxed with PBEsol (SCAN).

Cell: 5.059 5.743 7.517 Å, 100.90 108.62 90.10°
Space group P-1 (No. 2)
Unique sites:
Li  0.002  0.411  0.167 x2
Li  0.002  0.923  0.168 x2
Li  0.008  0.759  0.503 x2
V  0.498  0.335  0.836 x2
V  0.500  0.500  0.500 x1
Ni  0.500  0.000  0.500 x1
Ni  0.500  0.166  0.166 x2
O  0.262  0.381  0.999 x2
O  0.266  0.698  0.333 x2
O  0.267  0.534  0.668 x2
O  0.270  0.056  0.675 x2
O  0.270  0.864  0.009 x2
O  0.272  0.223  0.344 x2

## Properties
* ΔE_f (raw): -2.204 eV/atom
* volume: 8.5 A^3/atom
* energy above the most stable polymorph in this dataset: 0.002 eV/atom
* E: -243.00 eV per cell
* magnetization: 0.38 μB/atom